# 1
TbHI | GGA-PBE | optimized geometry

Computed properties:
The energy is -3.899 eV per atom. The value obtained for the volume is 272.7 Å³ per cell.

Cell: 7.138 5.766 7.574 Å, 90.00 118.95 90.00°
Positions (direct):
Tb 0.170 0.142 0.204
Tb 0.170 0.358 0.704
Tb 0.830 0.642 0.296
Tb 0.830 0.858 0.796
H 0.090 0.116 0.886
H 0.090 0.384 0.386
H 0.910 0.616 0.614
H 0.910 0.884 0.114
I 0.303 0.631 0.106
I 0.303 0.869 0.606
I 0.697 0.131 0.394
I 0.697 0.369 0.894

=====

# 2
TbH2I2 | GGA-PBE | optimized geometry

Computed properties:
The energy is -3.600 eV per atom. The value obtained for the volume is 358.6 Å³ per cell.

Cell: 6.773 6.773 8.323 Å, 98.93 98.93 103.95°
Positions (direct):
Tb 0.174 0.826 0.000
Tb 0.826 0.174 0.000
H 0.055 0.055 0.908
H 0.102 0.102 0.091
H 0.898 0.898 0.909
H 0.945 0.945 0.092
I 0.067 0.565 0.259
I 0.435 0.933 0.741
I 0.565 0.067 0.259
I 0.933 0.435 0.741